Below is a relaxed ScMnSeN2 crystal, with properties calculated at the GGA-PBE level.

abc: 3.7008 4.9752 3.7008
angles: 90.00 90.00 90.00
Sites, in units of the cell vectors:
1 Mn 0.0000 0.0000 0.0000
2 N 0.5000 0.0000 0.0000
3 N 0.0000 0.0000 0.5000
4 Sc 0.5000 0.5000 0.5000
5 Se 0.0000 0.5000 0.0000

Calculated values
Uncorrected energy   -7.204 eV per atom
Raw formation energy   -0.077 eV per atom

=====

Below is a relaxed ScMnSeN2 crystal, with properties calculated at the GGA-PBE level.

abc: 4.0258 4.0258 5.3902
angles: 90.00 90.00 90.00
Sites, in units of the cell vectors:
1 Sc 0.0000 0.0000 0.0000
2 Se 0.0000 0.0000 0.5000
3 N 0.0000 0.5000 0.0000
4 N 0.5000 0.0000 0.0000
5 Mn 0.5000 0.5000 0.5000

Calculated values
Uncorrected energy   -6.031 eV per atom
Raw formation energy   1.096 eV per atom

=====

Below is a relaxed Sc2MnSnN crystal, with properties calculated at the GGA-PBE level.

abc: 4.4827 4.4827 4.0675
angles: 90.00 90.00 90.00
Sites, in units of the cell vectors:
1 Sc 0.5000 0.0000 0.0000
2 Sc 0.0000 0.5000 0.0000
3 Sn 0.5000 0.5000 0.5000
4 N 0.0000 0.0000 0.0000
5 Mn 0.0000 0.0000 0.5000

Calculated values
Uncorrected energy   -7.681 eV per atom
Raw formation energy   -0.849 eV per atom

=====

Below is a relaxed SrScMn2N crystal, with properties calculated at the GGA-PBE level.

abc: 4.2222 6.8830 4.2222
angles: 90.00 90.00 90.00
Sites, in units of the cell vectors:
1 Sc 0.0000 0.0000 0.0000
2 Sr 0.0000 0.5000 0.0000
3 N 0.5000 0.5000 0.5000
4 Mn 0.5000 0.0000 0.0000
5 Mn 0.0000 0.0000 0.5000

Calculated values
Uncorrected energy   -4.792 eV per atom
Raw formation energy   2.143 eV per atom

=====

Below is a relaxed ScTiMnN2 crystal, with properties calculated at the GGA-PBE level.

abc: 4.0734 5.3855 4.0734
angles: 90.00 90.00 90.00
Sites, in units of the cell vectors:
1 Sc 0.0000 0.0000 0.0000
2 Mn 0.5000 0.5000 0.5000
3 Ti 0.0000 0.5000 0.0000
4 N 0.0000 0.0000 0.5000
5 N 0.5000 0.0000 0.0000

Calculated values
Uncorrected energy   -6.748 eV per atom
Raw formation energy   1.261 eV per atom

=====

Below is a relaxed Sc2MnTlN crystal, with properties calculated at the GGA-PBE level.

abc: 4.4862 4.4862 4.1128
angles: 90.00 90.00 90.00
Sites, in units of the cell vectors:
1 Mn 0.0000 0.0000 0.5000
2 Tl 0.5000 0.5000 0.5000
3 N 0.0000 0.0000 0.0000
4 Sc 0.5000 0.0000 0.0000
5 Sc 0.0000 0.5000 0.0000

Calculated values
Uncorrected energy   -7.210 eV per atom
Raw formation energy   -0.705 eV per atom

=====

Below is a relaxed ScMnTlN2 crystal, with properties calculated at the GGA-PBE level.

abc: 4.1045 5.9242 4.1045
angles: 90.00 90.00 90.00
Sites, in units of the cell vectors:
1 Mn 0.5000 0.5000 0.5000
2 Tl 0.0000 0.5000 0.0000
3 N 0.0000 0.0000 0.5000
4 N 0.5000 0.0000 0.0000
5 Sc 0.0000 0.0000 0.0000

Calculated values
Uncorrected energy   -5.929 eV per atom
Raw formation energy   0.975 eV per atom

=====

Below is a relaxed ScU2MnN5 crystal, with properties calculated at the GGA-PBE level.

abc: 5.4356 6.3636 6.3636
angles: 90.00 90.00 90.00
Sites, in units of the cell vectors:
1 U 0.5000 0.1685 0.3315
2 U 0.5000 0.3315 0.8315
3 U 0.5000 0.6685 0.1685
4 U 0.5000 0.8315 0.6685
5 Mn 0.0000 0.5000 0.0000
6 Mn 0.0000 0.0000 0.5000
7 N 0.7635 0.3455 0.1545
8 N 0.2365 0.8455 0.3455
9 N 0.2365 0.3455 0.1545
10 N 0.2365 0.1545 0.6545
11 N 0.5000 0.5000 0.5000
12 N 0.7635 0.6545 0.8455
13 N 0.5000 0.0000 0.0000
14 N 0.7635 0.8455 0.3455
15 N 0.7635 0.1545 0.6545
16 N 0.2365 0.6545 0.8455
17 Sc 0.0000 0.0000 0.0000
18 Sc 0.0000 0.5000 0.5000

Calculated values
Uncorrected energy   -9.843 eV per atom
Raw formation energy   -0.987 eV per atom

=====

Below is a relaxed MnSe3N crystal, with properties calculated at the GGA-PBE level.

abc: 4.5764 4.5764 4.5764
angles: 90.00 90.00 90.00
Sites, in units of the cell vectors:
1 Mn 0.0000 0.0000 0.0000
2 Se 0.0000 0.5000 0.0000
3 Se 0.0000 0.0000 0.5000
4 Se 0.5000 0.0000 0.0000
5 N 0.5000 0.5000 0.5000

Calculated values
Uncorrected energy   -4.135 eV per atom
Raw formation energy   1.455 eV per atom

=====

Below is a relaxed MnSe3N crystal, with properties calculated at the GGA-PBE level.

abc: 4.2841 4.2841 4.2841
angles: 90.00 90.00 90.00
Sites, in units of the cell vectors:
1 N 0.0000 0.0000 0.0000
2 Mn 0.5000 0.5000 0.5000
3 Se 0.0000 0.5000 0.0000
4 Se 0.0000 0.0000 0.5000
5 Se 0.5000 0.0000 0.0000

Calculated values
Uncorrected energy   -4.341 eV per atom
Raw formation energy   1.248 eV per atom

=====

Below is a relaxed MnSeN2 crystal, with properties calculated at the GGA-PBE level.

abc: 5.0122 5.0122 5.4412
angles: 62.58 62.58 90.00
Sites, in units of the cell vectors:
1 Se 0.0000 0.0000 0.0000
2 Se 0.7500 0.2500 0.5000
3 N 0.5182 0.1250 0.2500
4 N 0.3750 0.4818 0.7500
5 N 0.8750 0.7682 0.7500
6 N 0.2318 0.6250 0.2500
7 Mn 0.5000 0.5000 0.0000
8 Mn 0.2500 0.7500 0.5000

Calculated values
Uncorrected energy   -6.686 eV per atom
Raw formation energy   0.640 eV per atom

=====

Below is a relaxed MnSeN3 crystal, with properties calculated at the GGA-PBE level.

abc: 3.7203 3.7203 3.7203
angles: 90.00 90.00 90.00
Sites, in units of the cell vectors:
1 Se 0.5000 0.5000 0.5000
2 N 0.0000 0.0000 0.5000
3 N 0.0000 0.5000 0.0000
4 N 0.5000 0.0000 0.0000
5 Mn 0.0000 0.0000 0.0000

Calculated values
Uncorrected energy   -6.160 eV per atom
Raw formation energy   1.366 eV per atom

=====

Below is a relaxed MnSeN3 crystal, with properties calculated at the GGA-PBE level.

abc: 3.6806 3.6806 3.6806
angles: 90.00 90.00 90.00
Sites, in units of the cell vectors:
1 Mn 0.5000 0.5000 0.5000
2 N 0.0000 0.0000 0.5000
3 N 0.5000 0.0000 0.0000
4 N 0.0000 0.5000 0.0000
5 Se 0.0000 0.0000 0.0000

Calculated values
Uncorrected energy   -5.348 eV per atom
Raw formation energy   2.178 eV per atom

=====

Below is a relaxed MnSeN2 crystal, with properties calculated at the GGA-PBE level.

abc: 6.3068 6.3068 6.3068
angles: 27.19 27.19 27.19
Sites, in units of the cell vectors:
1 N 0.8888 0.8888 0.8888
2 N 0.1112 0.1112 0.1112
3 Mn 0.5000 0.5000 0.5000
4 Se 0.0000 0.0000 0.0000

Calculated values
Uncorrected energy   -6.982 eV per atom
Raw formation energy   0.344 eV per atom

=====

Below is a relaxed MnSiSeN2 crystal, with properties calculated at the GGA-PBE level.

abc: 3.4810 3.4810 6.2586
angles: 90.00 90.00 90.00
Sites, in units of the cell vectors:
1 N 0.5000 0.0000 0.0000
2 N 0.0000 0.5000 0.0000
3 Mn 0.5000 0.5000 0.5000
4 Si 0.0000 0.0000 0.0000
5 Se 0.0000 0.0000 0.5000

Calculated values
Uncorrected energy   -6.561 eV per atom
Raw formation energy   0.385 eV per atom

=====

Below is a relaxed MnSiSeN2 crystal, with properties calculated at the GGA-PBE level.

abc: 3.6440 3.6440 5.1570
angles: 90.00 90.00 90.00
Sites, in units of the cell vectors:
1 Mn 0.0000 0.0000 0.0000
2 Si 0.5000 0.5000 0.5000
3 N 0.5000 0.0000 0.0000
4 N 0.0000 0.5000 0.0000
5 Se 0.0000 0.0000 0.5000

Calculated values
Uncorrected energy   -6.233 eV per atom
Raw formation energy   0.713 eV per atom

=====

Below is a relaxed MnSnSe2N crystal, with properties calculated at the GGA-PBE level.

abc: 5.1523 5.1523 3.5508
angles: 90.00 90.00 90.00
Sites, in units of the cell vectors:
1 Sn 0.5000 0.5000 0.5000
2 Se 0.5000 0.0000 0.0000
3 Se 0.0000 0.5000 0.0000
4 Mn 0.0000 0.0000 0.0000
5 N 0.0000 0.0000 0.5000

Calculated values
Uncorrected energy   -5.683 eV per atom
Raw formation energy   0.010 eV per atom

=====

Below is a relaxed MnSnSe2N crystal, with properties calculated at the GGA-PBE level.

abc: 5.3483 5.3483 4.0227
angles: 90.00 90.00 90.00
Sites, in units of the cell vectors:
1 Se 0.5000 0.0000 0.0000
2 Se 0.0000 0.5000 0.0000
3 Sn 0.0000 0.0000 0.0000
4 Mn 0.5000 0.5000 0.5000
5 N 0.0000 0.0000 0.5000

Calculated values
Uncorrected energy   -4.893 eV per atom
Raw formation energy   0.800 eV per atom

=====

Below is a relaxed SrMnSe2N crystal, with properties calculated at the GGA-PBE level.

abc: 5.7656 5.7656 4.7418
angles: 90.00 90.00 90.00
Sites, in units of the cell vectors:
1 Se 0.0000 0.5000 0.0000
2 Se 0.5000 0.0000 0.0000
3 N 0.0000 0.0000 0.5000
4 Sr 0.0000 0.0000 0.0000
5 Mn 0.5000 0.5000 0.5000

Calculated values
Uncorrected energy   -4.323 eV per atom
Raw formation energy   0.906 eV per atom

=====

Below is a relaxed SrMnSe2N crystal, with properties calculated at the GGA-PBE level.

abc: 5.2286 5.2286 3.6182
angles: 90.00 90.00 90.00
Sites, in units of the cell vectors:
1 Mn 0.0000 0.0000 0.0000
2 Se 0.0000 0.5000 0.0000
3 Se 0.5000 0.0000 0.0000
4 Sr 0.5000 0.5000 0.5000
5 N 0.0000 0.0000 0.5000

Calculated values
Uncorrected energy   -5.875 eV per atom
Raw formation energy   -0.645 eV per atom